No. 1
VASP calculation (PBE) on a geometry-optimized NaHf3Zr2N6 structure.

The structure belongs to space group C2/m (No. 12); the cell edges are 14.097, 3.223 and 6.529 Å and the angles 90.00°, 103.59° and 90.00°. The distinct sites, in fractional coordinates, are Na at (0.000, 0.000, 0.000), Hf at (0.000, 0.000, 0.500), Hf at (0.161, 0.500, 0.835), Zr at (0.164, 0.500, 0.331), N at (0.001, 0.500, 0.730), N at (0.164, 0.000, 0.591) and N at (0.173, 0.000, 0.080).

The calculation puts the formation energy from raw total energies at -152 kJ/mol of atoms.

---

No. 2
VASP calculation (PBE) on a geometry-optimized Dy2TmSi structure.

The structure belongs to space group R-3m (No. 166, hexagonal axes); the cell edges are 3.5486, 3.5486 and 32.1725 Å and the angles 90.00°, 90.00° and 120.00°. The distinct sites, in fractional coordinates, are Dy at (0.0000, 0.0000, 0.1057), Tm at (0.0000, 0.0000, 0.0000) and Si at (0.0000, 0.0000, 0.5000).

The calculation puts the formation energy from raw total energies at 4 kJ/mol of atoms.

---

No. 3
VASP calculation (PBE) on a geometry-optimized ZrHPtO2 structure.

The structure belongs to space group P4/mmm (No. 123); the cell edges are 3.969, 3.969 and 3.349 Å and the angles 90.00°, 90.00° and 90.00°. The distinct sites, in fractional coordinates, are Zr at (0.000, 0.000, 0.000), H at (0.500, 0.500, 0.500), Pt at (0.500, 0.500, 0.000) and O at (0.000, 0.500, 0.500).

The value obtained for the electronic total energy is -30.5 eV/cell.

---

No. 4
VASP calculation (PBE) on a geometry-optimized Er3Tm2Pb4 structure.

The structure belongs to space group C2/m (No. 12); the cell edges are 16.128, 4.918 and 6.794 Å and the angles 90.00°, 105.72° and 90.00°. The distinct sites, in fractional coordinates, are Er at (0.000, 0.000, 0.000), Er at (0.114, 0.000, 0.593), Tm at (0.171, 0.500, 0.061), Pb at (0.012, 0.500, 0.283) and Pb at (0.245, 0.000, 0.309).

The value obtained for the electronic total energy is -81.9 eV/cell.

---

No. 5
VASP calculation (PBE) on a geometry-optimized KCe2Tl3S6 structure.

The structure belongs to space group C2/m (No. 12); the cell edges are 19.304, 4.202 and 8.859 Å and the angles 90.00°, 104.77° and 90.00°. The distinct sites, in fractional coordinates, are K at (0.000, 0.000, 0.000), Ce at (0.170, 0.500, 0.330), Tl at (0.000, 0.000, 0.500), Tl at (0.161, 0.500, 0.828), S at (0.033, 0.500, 0.271), S at (0.179, 0.000, 0.131) and S at (0.180, 0.000, 0.550).

The calculation puts the formation energy from raw total energies at -116 kJ/mol of atoms.

---

No. 6
VASP calculation (PBE) on a geometry-optimized RbSmF4 structure.

The structure belongs to space group Pnma (No. 62); the cell edges are 6.354, 3.745 and 16.265 Å and the angles 90.00°, 90.00° and 90.00°. The distinct sites, in fractional coordinates, are Rb at (0.225, 0.250, 0.200), Sm at (0.249, 0.750, 0.444), F at (0.001, 0.250, 0.054), F at (0.101, 0.250, 0.817), F at (0.111, 0.250, 0.374) and F at (0.131, 0.250, 0.536).

The calculation puts the formation energy from raw total energies at -355 kJ/mol of atoms.

---

No. 7
VASP calculation (PBE) on a geometry-optimized AlPt2Rh structure.

The structure belongs to space group I-42d (No. 122); the cell edges are 3.776, 3.776 and 18.223 Å and the angles 90.00°, 90.00° and 90.00°. The distinct sites, in fractional coordinates, are Al at (0.000, 0.000, 0.000), Pt at (0.249, 0.250, 0.625) and Rh at (0.000, 0.000, 0.500).

The value obtained for the electronic total energy is -96.2 eV/cell.

---

No. 8
VASP calculation (PBE) on a geometry-optimized Sm4In3Ga structure.

The structure belongs to space group P4/mmm (No. 123); the cell edges are 3.761, 3.761 and 15.384 Å and the angles 90.00°, 90.00° and 90.00°. The distinct sites, in fractional coordinates, are Sm at (0.000, 0.000, 0.115), Sm at (0.000, 0.000, 0.371), In at (0.500, 0.500, 0.243), In at (0.500, 0.500, 0.500) and Ga at (0.500, 0.500, 0.000).

The value obtained for the energy above the most stable polymorph in this dataset is 0 meV/atom.